Computed, not measured: a relaxed structure of Ac2Ga4Cu3 at the PBE level of DFT.

Results
The energy comes out at -3.931 eV/atom. The calculated volume is 749 Å³ per cell. The formation energy is -307 meV/atom. The crystal system is orthorhombic. The calculation puts the magnetization at 0.000 μB per formula unit.

abc: 6.193 15.690 7.709
angles: 90.00 90.00 90.00
Space group Cmce (No. 64)
One atom of each set of equivalent atoms:
1 Ac 0.000 0.122 0.088 x8
2 Ga 0.000 0.169 0.513 x8
3 Ga 0.250 0.052 0.750 x8
4 Cu 0.000 0.000 0.500 x4
5 Cu 0.250 0.217 0.750 x8